1.
A plane-wave DFT calculation with GGA-PBE was carried out for a relaxed RbHg2PdPb crystal.

Properties
DFT total energy: -11.195 eV per cell
Symmetry: No. 123
Calculated volume: 159 Å³ per cell
Energy of formation from the pure elements: -0.145 eV per atom

Cell lengths 5.4558, 5.4558, 5.3582 Å; angles 90.00, 90.00, 90.00 degrees
Atoms (fractional coordinates):
Rb 0.0000 0.0000 0.0000
Hg 0.0000 0.5000 0.5000
Hg 0.5000 0.0000 0.5000
Pd 0.5000 0.5000 0.5000
Pb 0.5000 0.5000 0.0000

***

2.
A plane-wave DFT calculation with GGA-PBE was carried out for a relaxed LaSc4Cu5 crystal.

Properties
DFT total energy: -53.134 eV per cell
Symmetry: No. 123
Calculated volume: 185 Å³ per cell
Energy of formation from the pure elements: -0.240 eV per atom

Cell lengths 3.2960, 3.2960, 17.0126 Å; angles 90.00, 90.00, 90.00 degrees
Atoms (fractional coordinates):
La 0.0000 0.0000 0.0000
Sc 0.0000 0.0000 0.2141
Sc 0.0000 0.0000 0.4049
Sc 0.0000 0.0000 0.5951
Sc 0.0000 0.0000 0.7859
Cu 0.5000 0.5000 0.1278
Cu 0.5000 0.5000 0.3086
Cu 0.5000 0.5000 0.5000
Cu 0.5000 0.5000 0.6914
Cu 0.5000 0.5000 0.8722

***

3.
A plane-wave DFT calculation with GGA-PBE was carried out for a relaxed V4SnC crystal.

Properties
DFT total energy: -47.494 eV per cell
Symmetry: No. 65
Calculated volume: 99 Å³ per cell
Energy of formation from the pure elements: 0.368 eV per atom

Cell lengths 5.7583, 5.7583, 2.9954 Å; angles 90.00, 90.00, 95.01 degrees
Atoms (fractional coordinates):
V 0.1630 0.1630 0.5000
V 0.2325 0.7675 0.0000
V 0.7675 0.2325 0.0000
V 0.8370 0.8370 0.5000
Sn 0.5000 0.5000 0.5000
C 0.0000 0.0000 0.0000

***

4.
A plane-wave DFT calculation with GGA-PBE was carried out for a relaxed Tb2ErPu3Te6 crystal.

Properties
DFT total energy: -90.158 eV per cell
Symmetry: No. 12
Calculated volume: 360 Å³ per cell

Cell lengths 9.8178, 9.8178, 8.7993 Å; angles 102.68, 102.68, 25.79 degrees
Atoms (fractional coordinates):
Tb 0.1669 0.1669 0.3372
Tb 0.8331 0.8331 0.6628
Er 0.5000 0.5000 0.0000
Pu 0.1677 0.1677 0.8363
Pu 0.5000 0.5000 0.5000
Pu 0.8323 0.8323 0.1637
Te 0.0008 0.0008 0.2447
Te 0.3324 0.3324 0.4162
Te 0.3355 0.3355 0.9134
Te 0.6645 0.6645 0.0866
Te 0.6676 0.6676 0.5838
Te 0.9992 0.9992 0.7553

***

5.
A plane-wave DFT calculation with GGA-PBE was carried out for a relaxed Tb2Pm2Ho7 crystal.

Properties
DFT total energy: -49.115 eV per cell
Symmetry: No. 12
Calculated volume: 358 Å³ per cell
Energy of formation from the pure elements: 0.154 eV per atom

Cell lengths 8.0306, 8.0306, 6.0668 Å; angles 106.29, 106.29, 91.71 degrees
Atoms (fractional coordinates):
Tb 0.2132 0.7868 0.0000
Tb 0.7868 0.2132 0.0000
Pm 0.4075 0.4075 0.6934
Pm 0.5925 0.5925 0.3066
Ho 0.0000 0.0000 0.5000
Ho 0.0637 0.5883 0.3220
Ho 0.2299 0.2299 0.0790
Ho 0.4117 0.9363 0.6780
Ho 0.5883 0.0637 0.3220
Ho 0.7701 0.7701 0.9210
Ho 0.9363 0.4117 0.6780

***

6.
A plane-wave DFT calculation with GGA-PBE was carried out for a relaxed LaPuGeAu crystal.

Properties
DFT total energy: -29.415 eV per cell
Symmetry: No. 216
Calculated volume: 102 Å³ per cell
Energy of formation from the pure elements: -0.565 eV per atom

Cell lengths 5.2444, 5.2444, 5.2444 Å; angles 60.00, 60.00, 60.00 degrees
Atoms (fractional coordinates):
La 0.0000 0.0000 0.0000
Pu 0.5000 0.5000 0.5000
Ge 0.7500 0.7500 0.7500
Au 0.2500 0.2500 0.2500

***

Number 1: D(E_F) 2.545 states/eV per cell. Number 2: D(E_F) 5.979 states/eV per cell. Number 3: D(E_F) 6.942 states/eV per cell. Number 4: D(E_F) 34.627 states/eV per cell. Number 5: D(E_F) 18.138 states/eV per cell. Number 6: D(E_F) 10.862 states/eV per cell.